Computed, not measured: a relaxed ScCo4Cu crystal at the PBE level of DFT.

```
6
Lattice="4.7753 0.0000 0.0000 2.3877 4.1356 0.0000 2.3877 1.3785 3.8990" Properties=species:S:1:pos:R:3 pbc="T T T"
Co 3.5867 3.4433 2.4348
Co 5.9640 3.4433 2.4348
Co 4.7753 1.3845 2.4348
Co 4.7753 2.7570 0.4937
Cu 2.3877 1.3785 0.9748
Sc 0.0000 0.0000 0.0000
```

ΔH_f (0 K) ... -118 meV/atom
E ... -6.59 eV/atom

---

Computed, not measured: a relaxed ScCoCu2 crystal at the PBE level of DFT.

```
4
Lattice="4.6372 -0.0265 -0.0857 -2.0406 4.6170 0.0323 0.5561 0.7995 2.5821" Properties=species:S:1:pos:R:3 pbc="T T T"
Co 1.2983 2.2952 -0.0267
Cu 0.0000 0.0000 0.0000
Cu 2.5967 0.3865 1.2482
Sc -0.7422 2.7082 1.3072
```

ΔH_f (0 K) ... 81 meV/atom
E ... -5.33 eV/atom

---

Computed, not measured: a relaxed ScCoCu crystal at the PBE level of DFT.

```
3
Lattice="4.0940 0.0000 0.0000 -2.0470 3.5455 0.0000 0.0000 0.0000 3.1051" Properties=species:S:1:pos:R:3 pbc="T T T"
Co 0.0000 0.0000 0.5176
Cu 2.0470 1.1818 0.5171
Sc 0.0000 2.3636 2.0704
```

ΔH_f (0 K) ... -94 meV/atom
E ... -5.94 eV/atom

---

Computed, not measured: a relaxed ScCoCu2 crystal at the PBE level of DFT.

```
4
Lattice="-2.0576 2.0347 2.8230 1.8195 -1.7860 2.6134 2.5625 2.6007 -0.0067" Properties=species:S:1:pos:R:3 pbc="T T T"
Sc -0.1191 0.1244 2.7182
Co 0.2525 2.3177 1.4081
Cu 0.0000 0.0000 0.0000
Cu 2.1910 0.4074 1.3033
```

ΔH_f (0 K) ... -150 meV/atom
E ... -5.56 eV/atom

---

Computed, not measured: a relaxed ScCoCu crystal at the PBE level of DFT.

```
6
Lattice="4.9662 -0.0549 0.1111 -2.4706 4.3084 -0.1111 2.4876 1.3993 4.0660" Properties=species:S:1:pos:R:3 pbc="T T T"
Sc 2.4786 4.2635 1.4965
Sc 2.5046 1.3894 2.5696
Co 2.4831 -0.0275 0.0555
Co -1.2353 2.1542 -0.0555
Cu 0.0085 2.8539 1.9775
Cu 1.2478 2.1268 0.0000
```

ΔH_f (0 K) ... -260 meV/atom
E ... -6.10 eV/atom

---

Computed, not measured: a relaxed ScCo2Cu2 crystal at the PBE level of DFT.

```
10
Lattice="-1.5384 -4.1484 -5.3434 3.3481 -5.2285 3.0953 -2.3443 -0.7547 1.2609" Properties=species:S:1:pos:R:3 pbc="T T T"
Sc 0.0000 0.0000 0.0000
Sc 0.9049 -4.6884 -1.1241
Co 2.3599 -6.1678 0.6957
Co 0.7271 -6.8934 -2.7744
Co -0.5501 -3.2091 -2.9438
Co 1.0826 -2.4835 0.5262
Cu 0.8147 -4.6122 1.7895
Cu 0.5623 -7.4934 -0.4044
Cu -1.3492 -5.5195 -2.7768
Cu -1.0968 -2.6382 -0.5829
```

ΔH_f (0 K) ... 72 meV/atom
Energy relative to the lowest polymorph listed for this composition ... 29 meV/atom
E ... -5.68 eV/atom

---

Computed, not measured: a relaxed ScCo2Cu crystal at the PBE level of DFT.

```
4
Lattice="-6.0159 -2.4947 5.0389 -7.1583 -3.1438 2.5846 -5.3959 -4.9153 3.8116" Properties=species:S:1:pos:R:3 pbc="T T T"
Co -18.5307 -10.5313 11.4109
Co -9.3244 -5.2992 5.7418
Cu -4.6425 -2.6384 2.8588
Sc -13.9275 -7.9153 8.5763
```

ΔH_f (0 K) ... 314 meV/atom
E ... -5.85 eV/atom

---

Computed, not measured: a relaxed Sc3Co8Cu crystal at the PBE level of DFT.

```
12
Lattice="4.6277 0.0000 1.3970 2.1030 4.1223 1.3970 -0.0001 -0.0001 8.3638" Properties=species:S:1:pos:R:3 pbc="T T T"
Sc 2.5299 1.5494 8.3463
Sc 6.6866 4.0952 2.9402
Sc 3.3975 2.0808 5.4721
Co 5.2548 1.8020 3.4989
Co 4.0101 3.8665 7.6442
Co 2.9423 1.8020 2.8008
Co 6.3131 3.8665 8.3395
Co 1.2659 0.7753 4.1698
Co 4.6293 2.8353 9.7551
Co 3.9932 3.8620 3.4989
Co 5.2665 1.8150 7.6442
Cu 5.8730 3.5969 5.6354
```

ΔH_f (0 K) ... -237 meV/atom
E ... -6.90 eV/atom